Ba2FeF8 PBE with a Hubbard U optimized geometry; ρ = 4.65 g cm⁻³; final energy = -56.823 eV/cell
1.0
7.981 -2.218 0.000
7.981 2.218 0.000
-1.647 0.000 4.862
Ba Fe F
2 1 8
direct
0.163 0.163 0.164
0.837 0.837 0.836
0.500 0.500 0.500
0.001 0.001 0.292
0.232 0.232 0.735
0.403 0.403 0.634
0.411 0.411 0.155
0.589 0.589 0.845
0.597 0.597 0.366
0.768 0.768 0.265
0.999 0.999 0.708